Run 1
VASP calculation (PBE) on Cr2TcCl after structural relaxation.

POSCAR file:
```
Cr2TcCl
1.0
2.805 -3.484 0.000
2.805 3.484 0.000
0.000 0.000 2.905
Cr Tc Cl
2 1 1
Direct
0.000 0.500 0.000
0.500 0.000 0.000
0.000 0.000 0.500
0.500 0.500 0.500
```

Calculated values
* symmetry: No. 65

Run 2
VASP calculation (PBE) on Cr2TcCl after structural relaxation.

POSCAR file:
```
Cr2TcCl
1.0
3.045 0.000 0.000
0.000 3.586 0.000
0.000 0.000 5.842
Cr Tc Cl
2 1 1
Direct
0.000 0.000 0.172
0.000 0.000 0.828
0.500 0.500 0.000
0.500 0.500 0.500
```

Calculated values
* symmetry: No. 47

Question: which arrangement is favored energetically? Ranking from most to least stable: run 2, run 1.

Run 1
VASP calculation (PBE) on Cr2TcCl after structural relaxation.

POSCAR file:
```
Cr2TcCl
1.0
-2.897 2.897 3.931
2.897 -2.897 3.931
2.897 2.897 -3.931
Cr Tc Cl
4 2 2
Direct
0.108 0.625 0.983
0.375 0.358 0.483
0.642 0.125 0.017
0.875 0.892 0.517
0.250 0.750 0.500
0.500 0.500 0.000
0.000 0.000 0.000
0.750 0.250 0.500
```

Calculated values
* symmetry: No. 122

Run 2
VASP calculation (PBE) on Cr2TcCl after structural relaxation.

POSCAR file:
```
Cr2TcCl
1.0
2.945 0.000 0.000
0.000 3.048 0.000
0.000 0.000 7.078
Cr Tc Cl
2 1 1
Direct
0.000 0.000 0.212
0.000 0.000 0.788
0.500 0.500 0.000
0.500 0.000 0.500
```

Calculated values
* symmetry: No. 47

Run 3
VASP calculation (PBE) on Cr2TcCl after structural relaxation.

POSCAR file:
```
Cr2TcCl
1.0
2.520 -3.934 0.000
2.520 3.934 0.000
-0.896 0.000 2.691
Cr Tc Cl
2 1 1
Direct
0.000 0.500 0.000
0.500 0.000 0.000
0.000 0.000 0.500
0.500 0.500 0.500
```

Calculated values
* symmetry: No. 12

Run 4
VASP calculation (PBE) on Cr2TcCl after structural relaxation.

POSCAR file:
```
Cr2TcCl
1.0
2.920 0.000 0.000
0.000 2.920 0.000
0.000 0.000 6.958
Cr Tc Cl
2 1 1
Direct
0.000 0.000 0.000
0.500 0.500 0.225
0.000 0.000 0.426
0.500 0.500 0.732
```

Calculated values
* symmetry: No. 99

Question: which arrangement is favored energetically? Ranking from most to least stable: run 2, run 4, run 3, run 1.

Run 1
VASP calculation (PBE) on Cr2TcCl after structural relaxation.

POSCAR file:
```
Cr2TcCl
1.0
1.416 0.818 8.297
-1.416 0.818 8.297
0.000 -1.636 8.297
Cr Tc Cl
2 1 1
Direct
0.000 0.000 0.000
0.253 0.253 0.253
0.741 0.741 0.741
0.519 0.519 0.519
```

Calculated values
* symmetry: No. 160

Run 2
VASP calculation (PBE) on Cr2TcCl after structural relaxation.

POSCAR file:
```
Cr2TcCl
1.0
2.890 0.000 0.000
0.000 4.350 0.000
0.000 0.000 4.362
Cr Tc Cl
2 1 1
Direct
0.000 0.000 0.000
0.500 0.000 0.500
0.000 0.500 0.500
0.500 0.500 0.000
```

Calculated values
* symmetry: No. 47

Run 3
VASP calculation (PBE) on Cr2TcCl after structural relaxation.

POSCAR file:
```
Cr2TcCl
1.0
0.000 2.986 2.986
2.986 0.000 2.986
2.986 2.986 0.000
Cr Tc Cl
2 1 1
Direct
0.250 0.250 0.250
0.750 0.750 0.750
0.000 0.000 0.000
0.500 0.500 0.500
```

Calculated values
* symmetry: No. 225

Run 4
VASP calculation (PBE) on Cr2TcCl after structural relaxation.

POSCAR file:
```
Cr2TcCl
1.0
0.000 3.045 3.045
3.045 0.000 3.045
3.045 3.045 0.000
Cr Tc Cl
2 1 1
Direct
0.000 0.000 0.000
0.250 0.250 0.250
0.500 0.500 0.500
0.750 0.750 0.750
```

Calculated values
* symmetry: No. 216

Question: which arrangement is favored energetically? Ranking from most to least stable: run 1, run 2, run 4, run 3.

Run 1
VASP calculation (PBE) on CrTc2Cl after structural relaxation.

POSCAR file:
```
CrTc2Cl
1.0
-1.417 2.159 4.396
1.417 -2.159 4.396
1.417 2.159 -4.396
Cr Tc Cl
1 2 1
Direct
0.000 0.000 0.000
0.277 0.777 0.500
0.544 0.544 0.000
0.787 0.287 0.500
```

Calculated values
* symmetry: No. 44

Run 2
VASP calculation (PBE) on CrTc2Cl after structural relaxation.

POSCAR file:
```
CrTc2Cl
1.0
1.482 -2.399 0.000
1.482 2.399 0.000
0.000 0.000 8.284
Cr Tc Cl
1 2 1
Direct
0.000 0.000 0.000
0.500 0.500 0.232
0.500 0.500 0.768
0.000 0.000 0.500
```

Calculated values
* symmetry: No. 65

Run 3
VASP calculation (PBE) on CrTc2Cl after structural relaxation.

POSCAR file:
```
CrTc2Cl
1.0
4.945 -1.449 0.000
4.945 1.449 0.000
-0.238 0.000 4.193
Cr Tc Cl
1 2 1
Direct
0.000 0.000 0.000
0.290 0.290 0.780
0.710 0.710 0.220
0.500 0.500 0.500
```

Calculated values
* symmetry: No. 12

Question: which arrangement is favored energetically? Ranking from most to least stable: run 3, run 2, run 1.

Run 1
VASP calculation (PBE) on CrTcCl3 after structural relaxation.

POSCAR file:
```
CrTcCl3
1.0
4.815 0.000 0.000
0.000 4.815 0.000
0.000 0.000 4.815
Cr Tc Cl
1 1 3
Direct
0.000 0.000 0.000
0.500 0.500 0.500
0.000 0.500 0.500
0.500 0.000 0.500
0.500 0.500 0.000
```

Calculated values
* symmetry: No. 221

Run 2
VASP calculation (PBE) on CrTcCl3 after structural relaxation.

POSCAR file:
```
CrTcCl3
1.0
4.870 0.000 0.000
0.000 4.870 0.000
0.000 0.000 4.870
Cr Tc Cl
1 1 3
Direct
0.000 0.000 0.000
0.500 0.500 0.500
0.000 0.000 0.500
0.000 0.500 0.000
0.500 0.000 0.000
```

Calculated values
* symmetry: No. 221

Question: which arrangement is favored energetically? Ranking from most to least stable: run 2, run 1.

Run 1
VASP calculation (PBE) on Cr3TcCl after structural relaxation.

POSCAR file:
```
Cr3TcCl
1.0
4.092 0.000 0.000
0.000 4.092 0.000
0.000 0.000 4.092
Cr Tc Cl
3 1 1
Direct
0.000 0.000 0.500
0.000 0.500 0.000
0.500 0.000 0.000
0.500 0.500 0.500
0.000 0.000 0.000
```

Calculated values
* symmetry: No. 221

Run 2
VASP calculation (PBE) on Cr3TcCl after structural relaxation.

POSCAR file:
```
Cr3TcCl
1.0
4.776 0.000 0.000
0.000 4.776 0.000
0.000 0.000 4.776
Cr Tc Cl
3 1 1
Direct
0.000 0.000 0.500
0.000 0.500 0.000
0.500 0.000 0.000
0.000 0.000 0.000
0.500 0.500 0.500
```

Calculated values
* symmetry: No. 221

Question: which arrangement is favored energetically? Ranking from most to least stable: run 1, run 2.